A relaxed Cr2InSbO6 crystal. Source: Alexandria via LeMat-Bulk, functional PBE+U.

E_tot: -6.763 eV per atom

```
10
Lattice="2.724 1.573 4.619 -2.724 1.573 4.619 0.000 -3.145 4.619" Properties=species:S:1:pos:R:3 pbc="T T T"
Cr 0.000 0.000 0.000
Cr 0.000 0.000 6.901
In 0.000 0.000 2.961
Sb 0.000 0.000 9.931
O -0.505 -1.657 5.913
O -1.576 -0.168 8.268
O -1.182 1.266 5.913
O 0.933 -1.281 8.268
O 1.688 0.391 5.913
O 0.642 1.449 8.268
```